Entry 1:
# SCAN AlINO2, PBEsol geometry
data_AlINO2
_chemical_formula_sum 'Al1 I1 N1 O2'
_cell_length_a 4.028
_cell_length_b 4.028
_cell_length_c 4.279
_cell_angle_alpha 90.00
_cell_angle_beta 90.00
_cell_angle_gamma 90.00
_space_group_name_H-M_alt 'P 4/m m m'
_space_group_IT_number 123
_space_group_name_Hall '-P 4 2'
loop_
_atom_site_label
_atom_site_type_symbol
_atom_site_fract_x
_atom_site_fract_y
_atom_site_fract_z
Al1 Al 0.000 0.000 0.000
I1 I 0.500 0.500 0.500
N1 N 0.500 0.500 0.000
O1 O 0.000 0.500 0.500
# DOS(E_F): 2.07 states/eV/f.u.
# Uncorrected formation energy: 674 meV/atom
# Magnetic moment: 0.00 μB per formula unit

=====

Entry 2:
# SCAN AlI2NO, PBEsol geometry
data_AlI2NO
_chemical_formula_sum 'Al1 I2 N1 O1'
_cell_length_a 5.908
_cell_length_b 5.908
_cell_length_c 3.325
_cell_angle_alpha 90.00
_cell_angle_beta 90.00
_cell_angle_gamma 90.00
_space_group_name_H-M_alt 'P 4/m m m'
_space_group_IT_number 123
_space_group_name_Hall '-P 4 2'
loop_
_atom_site_label
_atom_site_type_symbol
_atom_site_fract_x
_atom_site_fract_y
_atom_site_fract_z
Al1 Al 0.000 0.000 0.000
I1 I 0.000 0.500 0.000
N1 N 0.500 0.500 0.500
O1 O 0.000 0.000 0.500
# DOS(E_F): 0.77 states/eV/f.u.
# Uncorrected formation energy: -38 meV/atom
# Magnetic moment: 2.82 μB per formula unit

=====

Entry 3:
# SCAN AlOsI2N, PBEsol geometry
data_AlOsI2N
_chemical_formula_sum 'Al1 Os1 I2 N1'
_cell_length_a 5.364
_cell_length_b 5.364
_cell_length_c 3.390
_cell_angle_alpha 90.00
_cell_angle_beta 90.00
_cell_angle_gamma 90.00
_space_group_name_H-M_alt 'P 4/m m m'
_space_group_IT_number 123
_space_group_name_Hall '-P 4 2'
loop_
_atom_site_label
_atom_site_type_symbol
_atom_site_fract_x
_atom_site_fract_y
_atom_site_fract_z
Al1 Al 0.000 0.000 0.000
Os1 Os 0.500 0.500 0.500
I1 I 0.000 0.500 0.000
N1 N 0.000 0.000 0.500
# DOS(E_F): 3.37 states/eV/f.u.
# Uncorrected formation energy: 1236 meV/atom
# Magnetic moment: 0.00 μB per formula unit

=====

Entry 4:
# SCAN AlOsIN2, PBEsol geometry
data_AlOsIN2
_chemical_formula_sum 'Al1 Os1 I1 N2'
_cell_length_a 3.884
_cell_length_b 3.884
_cell_length_c 5.647
_cell_angle_alpha 90.00
_cell_angle_beta 90.00
_cell_angle_gamma 90.00
_space_group_name_H-M_alt 'P 4/m m m'
_space_group_IT_number 123
_space_group_name_Hall '-P 4 2'
loop_
_atom_site_label
_atom_site_type_symbol
_atom_site_fract_x
_atom_site_fract_y
_atom_site_fract_z
Al1 Al 0.000 0.000 0.000
Os1 Os 0.500 0.500 0.500
I1 I 0.500 0.500 0.000
N1 N 0.000 0.500 0.500
# DOS(E_F): 2.59 states/eV/f.u.
# Uncorrected formation energy: 973 meV/atom
# Magnetic moment: 0.00 μB per formula unit

=====

Entry 5:
# SCAN AlPI2N, PBEsol geometry
data_AlPI2N
_chemical_formula_sum 'Al1 P1 I2 N1'
_cell_length_a 5.992
_cell_length_b 5.992
_cell_length_c 3.342
_cell_angle_alpha 90.00
_cell_angle_beta 90.00
_cell_angle_gamma 90.00
_space_group_name_H-M_alt 'P 4/m m m'
_space_group_IT_number 123
_space_group_name_Hall '-P 4 2'
loop_
_atom_site_label
_atom_site_type_symbol
_atom_site_fract_x
_atom_site_fract_y
_atom_site_fract_z
Al1 Al 0.000 0.000 0.000
P1 P 0.500 0.500 0.500
I1 I 0.000 0.500 0.500
N1 N 0.500 0.500 0.000
# DOS(E_F): 2.42 states/eV/f.u.
# Uncorrected formation energy: 589 meV/atom
# Magnetic moment: 0.00 μB per formula unit

=====

Entry 6:
# SCAN AlSIN2, PBEsol geometry
data_AlSIN2
_chemical_formula_sum 'Al1 S1 I1 N2'
_cell_length_a 3.709
_cell_length_b 3.709
_cell_length_c 6.845
_cell_angle_alpha 90.00
_cell_angle_beta 90.00
_cell_angle_gamma 90.00
_space_group_name_H-M_alt 'P 4/m m m'
_space_group_IT_number 123
_space_group_name_Hall '-P 4 2'
loop_
_atom_site_label
_atom_site_type_symbol
_atom_site_fract_x
_atom_site_fract_y
_atom_site_fract_z
Al1 Al 0.000 0.000 0.000
S1 S 0.500 0.500 0.500
I1 I 0.000 0.000 0.500
N1 N 0.000 0.500 0.000
# DOS(E_F): 3.19 states/eV/f.u.
# Uncorrected formation energy: 917 meV/atom
# Magnetic moment: 0.01 μB per formula unit